# Te2AsIF, optimized geometry, DFT GGA-PBE
# **Uncorrected formation energy**: 0.319 eV/atom
# **Crystal system**: tetragonal
data_Te2AsIF
_chemical_formula_sum 'Te2 As1 I1 F1'
_space_group_name_H-M_alt 'P 4/m m m'
_space_group_IT_number 123
_space_group_name_Hall '-P 4 2'
_cell_length_a 5.450
_cell_length_b 5.450
_cell_length_c 5.569
_cell_angle_alpha 90.00
_cell_angle_beta 90.00
_cell_angle_gamma 90.00
loop_
_atom_site_label
_atom_site_fract_x
_atom_site_fract_y
_atom_site_fract_z
Te1 0.000 0.500 0.000
As1 0.000 0.000 0.000
I1 0.000 0.000 0.500
F1 0.500 0.500 0.500